# La2TbPr6Er3

A relaxed structure of La2TbPr6Er3 (PBE-GGA, the Alexandria database).

a = 6.3513 Å, b = 6.3513 Å, c = 12.0438 Å
α = 95.04°, β = 95.04°, γ = 120.03°
Element x y z (fractional)
La  0.1668  0.8332  0.0000
La  0.8332  0.1668  0.0000
Tb  0.5000  0.5000  0.0000
Pr  0.0827  0.4148  0.7444
Pr  0.2528  0.2528  0.2557
Pr  0.4148  0.0827  0.7444
Pr  0.5852  0.9173  0.2556
Pr  0.7472  0.7472  0.7443
Pr  0.9173  0.5852  0.2556
Er  0.0000  0.0000  0.5000
Er  0.3337  0.6663  0.5000
Er  0.6663  0.3337  0.5000

Calculated values
Raw total energy (eV per atom): -4.719
Calculated formation energy (meV/atom): 19


# Ir2OsN10Cl10

A relaxed structure of Ir2OsN10Cl10 (PBE-GGA, the Alexandria database).

a = 7.8653 Å, b = 7.8653 Å, c = 11.4549 Å
α = 109.07°, β = 109.07°, γ = 66.66°
Element x y z (fractional)
Ir  0.1328  0.1328  0.2201
Ir  0.8672  0.8672  0.7799
Os  0.5000  0.5000  0.0000
N  0.0006  0.7022  0.6019
N  0.0104  0.0104  0.8212
N  0.0321  0.6812  0.8642
N  0.2978  0.9994  0.3981
N  0.3188  0.9679  0.1358
N  0.6812  0.0321  0.8642
N  0.7022  0.0006  0.6019
N  0.9679  0.3188  0.1358
N  0.9896  0.9896  0.1788
N  0.9994  0.2978  0.3981
Cl  0.1560  0.1560  0.4731
Cl  0.2214  0.7786  0.0000
Cl  0.3213  0.3213  0.9844
Cl  0.3319  0.3319  0.3322
Cl  0.4388  0.4388  0.7841
Cl  0.5612  0.5612  0.2159
Cl  0.6681  0.6681  0.6678
Cl  0.6787  0.6787  0.0156
Cl  0.7786  0.2214  0.0000
Cl  0.8440  0.8440  0.5269

Calculated values
Raw total energy (eV per atom): -4.510


Question: Which value of raw total energy does entry 2 give?
Answer: -4.510 eV per atom


Question: What is the raw total energy in the second record?
Answer: -4.510 eV per atom


Question: Among the records above, which one has the lowest raw total energy?
Answer: La2TbPr6Er3


Question: Which of these has the lowest raw total energy?
Answer: La2TbPr6Er3